Below is an optimized crystal structure of Li2VAu, with properties calculated at the PBE level.

Unit cell a=7.206 b=7.206 c=5.759 alpha=51.28 beta=51.28 gamma=90.00
Site moments in Bohr magnetons follow the coordinates.
Element x y z (fractional)
V1 0.250 0.750 0.500  2.73
V2 0.500 0.500 0.000  2.73
Li1 0.875 0.901 0.750  0.02
Li2 0.099 0.625 0.250  0.02
Li3 0.375 0.349 0.750  0.02
Li4 0.651 0.125 0.250  0.02
Au1 0.750 0.250 0.500  0.07
Au2 0.000 0.000 0.000  0.07

## Properties
VASP energy = -3.750 eV/atom
space-group type = I-42d (122)
magnetization = 0.8716 μB per atom
N(E_F) = 1.207 states/eV per atom
calculated formation energy = 306 meV per atom